Record 1
An optimized crystal structure of HoErBi. Source: the Alexandria database, functional PBE.

Results
Its energy of formation is -0.2456 eV per atom. The density of states at the Fermi level is 1.08 states/eV per atom. The crystal system is trigonal. For the electronic total energy, the calculation gives -4.59 eV per atom.

Cell lengths 5.232, 5.232, 3.818 Å; angles 90.00, 90.00, 120.00 degrees
Atoms (fractional coordinates):
Ho: 0.000 0.000 0.000
Er: 0.333 0.667 0.466
Bi: 0.667 0.333 0.725


Record 2
An optimized crystal structure of Ho3ErBi4. Source: the Alexandria database, functional PBE.

Results
Its energy of formation is -0.8358 eV per atom. The density of states at the Fermi level is 0.06 states/eV per atom. The crystal system is cubic. Its energy above the lowest structure with this stoichiometry is 0.00 eV/f.u. For the electronic total energy, the calculation gives -5.06 eV per atom.

Cell lengths 6.294, 6.294, 6.294 Å; angles 90.00, 90.00, 90.00 degrees
Atoms (fractional coordinates):
Ho: 0.000 0.000 0.500
Ho: 0.000 0.500 0.000
Ho: 0.500 0.000 0.000
Er: 0.500 0.500 0.500
Bi: 0.000 0.000 0.000
Bi: 0.000 0.500 0.500
Bi: 0.500 0.000 0.500
Bi: 0.500 0.500 0.000


Question: Which of these has the highest electronic total energy?
Answer: HoErBi


Copy entry 1 word for word.
An optimized crystal structure of HoErBi. Source: the Alexandria database, functional PBE.

Results
Its energy of formation is -0.2456 eV per atom. The density of states at the Fermi level is 1.08 states/eV per atom. The crystal system is trigonal. For the electronic total energy, the calculation gives -4.59 eV per atom.

Cell lengths 5.232, 5.232, 3.818 Å; angles 90.00, 90.00, 120.00 degrees
Atoms (fractional coordinates):
Ho: 0.000 0.000 0.000
Er: 0.333 0.667 0.466
Bi: 0.667 0.333 0.725


Question: Look up the energy of formation of the first one.
Answer: -0.2456 eV per atom